Below is CoOsO3 after structural relaxation, with properties calculated at the GGA+U level.

Summary:
The total energy comes out at -28.8 eV/cell.

a b c (Å): 3.678 3.678 3.678
angles (deg): 90.00 90.00 90.00
Space group Pm-3m (No. 221)
Symmetry-distinct sites (fractional):
Co  0.000  0.000  0.000 [1 per cell]
Os  0.500  0.500  0.500 [1 per cell]
O  0.000  0.000  0.500 [3 per cell]